Computed, not measured: a relaxed DyHo2FeCo8 crystal at the GGA-PBE level of DFT.

Lattice parameters (Å, degrees): 8.4747 8.4747 8.4747 34.30 34.30 34.30
Closest atoms and distances in Å follow each position.
Fractional positions:
Dy 0.0000 0.0000 0.0000  18 Co 2.89-3.18
Ho 0.1396 0.1396 0.1396  9 Co 2.85-3.03, 3 Fe 2.96, 3 Ho 3.16
Ho 0.8604 0.8604 0.8604  9 Co 2.85-3.03, 3 Fe 2.96, 3 Ho 3.16
Fe 0.5000 0.5000 0.5000  6 Co 2.49
Co 0.0797 0.5832 0.5832  6 Co 2.43-2.52, 1 Fe 2.49
Co 0.3339 0.3339 0.3339  6 Co 2.43-2.44
Co 0.4168 0.4168 0.9203  6 Co 2.43-2.52, 1 Fe 2.49
Co 0.4168 0.9203 0.4168  6 Co 2.43-2.52, 1 Fe 2.49
Co 0.5832 0.0797 0.5832  6 Co 2.43-2.52, 1 Fe 2.49
Co 0.5832 0.5832 0.0797  6 Co 2.43-2.52, 1 Fe 2.49
Co 0.6661 0.6661 0.6661  6 Co 2.43-2.44
Co 0.9203 0.4168 0.4168  6 Co 2.43-2.52, 1 Fe 2.49

Properties
Energy relative to the elements, eV per atom: -0.18
Symmetry: No. 166

Computed, not measured: a relaxed Rb2AlTcSe6 crystal at the GGA-PBE level of DFT.

Lattice parameters (Å, degrees): 7.1517 7.1517 7.1517 120.14 120.14 89.76
Closest atoms and distances in Å follow each position.
Fractional positions:
Rb 0.2500 0.7500 0.5000  12 Se 3.57-3.58
Rb 0.7500 0.2500 0.5000  12 Se 3.57-3.58
Al 0.0000 0.0000 0.0000  6 Se 2.51-2.52
Tc 0.5000 0.5000 0.0000  6 Se 2.53-2.56
Se 0.2474 0.2474 0.0000  1 Al 2.51, 1 Tc 2.56
Se 0.2498 0.2498 0.4996  1 Al 2.52, 1 Tc 2.53
Se 0.2498 0.7502 0.0000  1 Al 2.52, 1 Tc 2.53
Se 0.7502 0.2498 0.0000  1 Al 2.52, 1 Tc 2.53
Se 0.7502 0.7502 0.5004  1 Al 2.52, 1 Tc 2.53
Se 0.7526 0.7526 0.0000  1 Al 2.51, 1 Tc 2.56

Properties
Symmetry: No. 139
Calculated total energy, eV/atom: -4.072

Computed, not measured: a relaxed TlCuTeOsSe2 crystal at the GGA-PBE level of DFT.

Lattice parameters (Å, degrees): 7.7852 7.7852 9.9496 90.00 90.00 151.88
Closest atoms and distances in Å follow each position.
Fractional positions:
Tl 0.2262 0.7738 0.7500  4 Se 3.35, 2 Cu 3.36, 2 Te 3.50
Tl 0.7738 0.2262 0.2500  4 Se 3.35, 2 Cu 3.36, 2 Te 3.50
Cu 0.4579 0.5421 0.2500  2 Se 2.37, 2 Te 2.63
Cu 0.5421 0.4579 0.7500  2 Se 2.37, 2 Te 2.63
Te 0.0786 0.9214 0.2500  2 Cu 2.63, 2 Os 2.76
Te 0.9214 0.0786 0.7500  2 Cu 2.63, 2 Os 2.76
Os 0.0000 0.0000 0.0000  4 Se 2.54, 2 Te 2.76
Os 0.0000 0.0000 0.5000  4 Se 2.54, 2 Te 2.76
Se 0.3898 0.6102 0.0356  1 Cu 2.37, 2 Os 2.54
Se 0.3898 0.6102 0.4644  1 Cu 2.37, 2 Os 2.54
Se 0.6102 0.3898 0.5356  1 Cu 2.37, 2 Os 2.54
Se 0.6102 0.3898 0.9644  1 Cu 2.37, 2 Os 2.54

Properties
Symmetry: No. 63
Calculated total energy, eV/atom: -4.578

Computed, not measured: a relaxed Dy2Nb2O5 crystal at the GGA-PBE level of DFT.

Lattice parameters (Å, degrees): 4.0404 4.0404 6.9535 90.00 90.00 90.00
Closest atoms and distances in Å follow each position.
Fractional positions:
Dy 0.0000 0.0000 0.0000  8 O 2.66
Dy 0.0000 0.0000 0.5000  12 O 2.67-2.86
Nb 0.5000 0.5000 0.1922  5 O 2.06-2.14
Nb 0.5000 0.5000 0.8078  5 O 2.06-2.14
O 0.0000 0.5000 0.2491  2 Nb 2.06
O 0.0000 0.5000 0.7509  2 Nb 2.06
O 0.5000 0.0000 0.2491  2 Nb 2.06
O 0.5000 0.0000 0.7509  2 Nb 2.06
O 0.5000 0.5000 0.5000  2 Nb 2.14

Properties
Symmetry: No. 123
Calculated total energy, eV/atom: -8.324

Computed, not measured: a relaxed Tb5Sn4 crystal at the GGA-PBE level of DFT.

Lattice parameters (Å, degrees): 8.0658 15.5056 8.1899 90.00 90.00 90.00
Closest atoms and distances in Å follow each position.
Fractional positions:
Tb 0.0210 0.0979 0.1788  6 Sn 3.16-3.44
Tb 0.0210 0.4021 0.1788  6 Sn 3.16-3.44
Tb 0.1324 0.6220 0.3376  6 Sn 3.05-3.23
Tb 0.1324 0.8780 0.3376  6 Sn 3.05-3.23
Tb 0.1993 0.2500 0.5028  6 Sn 3.10-3.30
Tb 0.3007 0.7500 0.0028  6 Sn 3.10-3.30
Tb 0.3676 0.1220 0.8376  6 Sn 3.05-3.23
Tb 0.3676 0.3780 0.8376  6 Sn 3.05-3.23
Tb 0.4790 0.5979 0.6788  6 Sn 3.16-3.44
Tb 0.4790 0.9021 0.6788  6 Sn 3.16-3.44
Tb 0.5210 0.0979 0.3212  6 Sn 3.16-3.44
Tb 0.5210 0.4021 0.3212  6 Sn 3.16-3.44
Tb 0.6324 0.6220 0.1624  6 Sn 3.05-3.23
Tb 0.6324 0.8780 0.1624  6 Sn 3.05-3.23
Tb 0.6993 0.2500 0.9972  6 Sn 3.10-3.30
Tb 0.8007 0.7500 0.4972  6 Sn 3.10-3.30
Tb 0.8676 0.1220 0.6624  6 Sn 3.05-3.23
Tb 0.8676 0.3780 0.6624  6 Sn 3.05-3.23
Tb 0.9790 0.5979 0.8212  6 Sn 3.16-3.44
Tb 0.9790 0.9021 0.8212  6 Sn 3.16-3.44
Sn 0.0651 0.2500 0.8827  1 Sn 3.04, 6 Tb 3.10-3.30
Sn 0.1705 0.7500 0.6466  1 Sn 3.04, 6 Tb 3.10-3.23
Sn 0.2077 0.0416 0.5365  7 Tb 3.05-3.41
Sn 0.2077 0.4584 0.5365  7 Tb 3.05-3.41
Sn 0.2923 0.5416 0.0365  7 Tb 3.05-3.41
Sn 0.2923 0.9584 0.0365  7 Tb 3.05-3.41
Sn 0.3295 0.2500 0.1466  1 Sn 3.04, 6 Tb 3.10-3.23
Sn 0.4349 0.7500 0.3827  1 Sn 3.04, 6 Tb 3.10-3.30
Sn 0.5651 0.2500 0.6173  1 Sn 3.04, 6 Tb 3.10-3.30
Sn 0.6705 0.7500 0.8534  1 Sn 3.04, 6 Tb 3.10-3.23
Sn 0.7077 0.0416 0.9635  7 Tb 3.05-3.41
Sn 0.7077 0.4584 0.9635  7 Tb 3.05-3.41
Sn 0.7923 0.5416 0.4635  7 Tb 3.05-3.41
Sn 0.7923 0.9584 0.4635  7 Tb 3.05-3.41
Sn 0.8295 0.2500 0.3534  1 Sn 3.04, 6 Tb 3.10-3.23
Sn 0.9349 0.7500 0.1173  1 Sn 3.04, 6 Tb 3.10-3.30

Properties
Symmetry: No. 62
Calculated total energy, eV/atom: -5.105

Computed, not measured: a relaxed DyClO crystal at the GGA-PBE level of DFT.

Lattice parameters (Å, degrees): 9.3015 9.3015 9.3015 23.62 23.62 23.62
Closest atoms and distances in Å follow each position.
Fractional positions:
Dy 0.2190 0.2190 0.2190  4 O 2.26-2.27
Dy 0.7810 0.7810 0.7810  4 O 2.26-2.27
Cl 0.3847 0.3847 0.3847  3 Dy 2.78
Cl 0.6153 0.6153 0.6153  3 Dy 2.78
O 0.1356 0.1356 0.1356  4 Dy 2.26-2.27
O 0.8644 0.8644 0.8644  4 Dy 2.26-2.27

Properties
Symmetry: No. 166
Calculated total energy, eV/atom: -6.910

Computed, not measured: a relaxed Li4Zn2GaCu crystal at the GGA-PBE level of DFT.

Lattice parameters (Å, degrees): 4.2604 4.2604 6.0271 90.00 90.00 90.00
Closest atoms and distances in Å follow each position.
Fractional positions:
Li 0.0000 0.0000 0.0000  4 Zn 2.60, 4 Li 2.60
Li 0.0000 0.5000 0.2484  4 Li 2.60-2.61, 2 Cu 2.60, 2 Ga 2.61
Li 0.5000 0.0000 0.7516  4 Li 2.60-2.61, 2 Cu 2.60, 2 Ga 2.61
Li 0.5000 0.5000 0.5000  4 Li 2.61, 4 Zn 2.62
Zn 0.0000 0.5000 0.7518  4 Li 2.60-2.62, 2 Cu 2.60, 2 Ga 2.62
Zn 0.5000 0.0000 0.2482  4 Li 2.60-2.62, 2 Cu 2.60, 2 Ga 2.62
Ga 0.0000 0.0000 0.5000  4 Li 2.61, 4 Zn 2.62
Cu 0.5000 0.5000 0.0000  4 Zn 2.60, 4 Li 2.60

Properties
Symmetry: No. 115
Calculated total energy, eV/atom: -2.331

Computed, not measured: a relaxed TlFeNiOs crystal at the GGA-PBE level of DFT.

Lattice parameters (Å, degrees): 4.3622 4.3622 4.3622 60.00 60.00 60.00
Closest atoms and distances in Å follow each position.
Fractional positions:
Tl 0.0000 0.0000 0.0000  4 Ni 2.67, 4 Fe 2.67
Fe 0.2500 0.2500 0.2500  4 Tl 2.67, 4 Os 2.67
Ni 0.7500 0.7500 0.7500  4 Tl 2.67, 4 Os 2.67
Os 0.5000 0.5000 0.5000  4 Ni 2.67, 4 Fe 2.67

Properties
Symmetry: No. 216
Calculated total energy, eV/atom: -6.253

Computed, not measured: a relaxed SbAsAuO crystal at the GGA-PBE level of DFT.

Lattice parameters (Å, degrees): 4.1391 6.4719 6.3789 90.00 90.00 90.00
Closest atoms and distances in Å follow each position.
Fractional positions:
Sb 0.0000 0.2413 0.0000  2 O 2.12
Sb 0.0000 0.7587 0.5000  2 O 2.12
As 0.0000 0.3458 0.4153  2 Au 2.47, 2 Sb 2.73
As 0.0000 0.6542 0.9153  2 Au 2.47, 2 Sb 2.73
Au 0.5000 0.2341 0.5924  1 O 2.40, 2 As 2.47
Au 0.5000 0.7659 0.0924  1 O 2.40, 2 As 2.47
O 0.5000 0.1774 0.9636  2 Sb 2.12
O 0.5000 0.8226 0.4636  2 Sb 2.12

Properties
Symmetry: No. 26
Calculated total energy, eV/atom: -4.402

Computed, not measured: a relaxed LiLu2Tc crystal at the GGA-PBE level of DFT.

Lattice parameters (Å, degrees): 4.9945 4.9945 8.1009 90.00 90.00 120.00
Closest atoms and distances in Å follow each position.
Fractional positions:
Li 0.0000 0.0000 0.0000  6 Lu 2.96
Li 0.0000 0.0000 0.5000  6 Lu 2.96
Lu 0.3333 0.6667 0.0806  1 Tc 2.68, 1 Lu 2.74, 3 Li 2.96
Lu 0.3333 0.6667 0.4194  1 Tc 2.68, 1 Lu 2.74, 3 Li 2.96
Lu 0.6667 0.3333 0.5806  1 Tc 2.68, 1 Lu 2.74, 3 Li 2.96
Lu 0.6667 0.3333 0.9194  1 Tc 2.68, 1 Lu 2.74, 3 Li 2.96
Tc 0.3333 0.6667 0.7500  2 Lu 2.68
Tc 0.6667 0.3333 0.2500  2 Lu 2.68

Properties
Symmetry: No. 194
Calculated total energy, eV/atom: -4.864